No. 1
Compound: VAgIrO6
Source: the Alexandria database
Functional: PBE with a Hubbard U
Structure: relaxed

Cell: 5.1520 5.1520 9.5446 Å, 90.00 90.00 120.00°
Closest atoms and distances in Å follow each position.
Sites, in units of the cell vectors:
V: 0.3333 0.6667 0.2500  6 O 1.91
V: 0.6667 0.3333 0.7500  6 O 1.91
Ag: 0.0000 0.0000 0.0000  6 O 2.35
Ag: 0.0000 0.0000 0.5000  6 O 2.35
Ir: 0.3333 0.6667 0.7500  6 O 1.96
Ir: 0.6667 0.3333 0.2500  6 O 1.96
O: 0.0066 0.3776 0.1399  1 V 1.91, 1 Ir 1.96
O: 0.0066 0.6290 0.3601  1 V 1.91, 1 Ir 1.96
O: 0.3710 0.3776 0.3601  1 V 1.91, 1 Ir 1.96
O: 0.3710 0.9934 0.1399  1 V 1.91, 1 Ir 1.96
O: 0.3776 0.0066 0.6399  1 V 1.91, 1 Ir 1.96
O: 0.3776 0.3710 0.8601  1 V 1.91, 1 Ir 1.96
O: 0.6224 0.6290 0.1399  1 V 1.91, 1 Ir 1.96
O: 0.6224 0.9934 0.3601  1 V 1.91, 1 Ir 1.96
O: 0.6290 0.0066 0.8601  1 V 1.91, 1 Ir 1.96
O: 0.6290 0.6224 0.6399  1 V 1.91, 1 Ir 1.96
O: 0.9934 0.3710 0.6399  1 V 1.91, 1 Ir 1.96
O: 0.9934 0.6224 0.8601  1 V 1.91, 1 Ir 1.96

Values from the calculation:
The final energy comes out at -6.36 eV/atom. The value obtained for the total magnetic moment is 0.12 μB/atom. Its density of states at the Fermi level is 10.7 states/eV/cell. As for the symmetry: No. 163. The calculation puts the calculated density at 6.77 Mg/m³.



No. 2
Compound: AgIr2WO
Source: the Alexandria database
Functional: PBE with a Hubbard U
Structure: relaxed

Cell: 4.8256 4.8256 5.2261 Å, 90.00 90.00 90.00°
Closest atoms and distances in Å follow each position.
Sites, in units of the cell vectors:
Ag: 0.0000 0.0000 0.0000  4 Ir 2.41, 2 W 2.61
Ir: 0.0000 0.5000 0.0000  2 Ag 2.41
Ir: 0.5000 0.0000 0.0000  2 Ag 2.41
W: 0.0000 0.0000 0.5000  2 Ag 2.61
O: 0.5000 0.5000 0.5000  4 W 3.41, 8 Ir 3.56

Values from the calculation:
The final energy comes out at -3.71 eV/atom. The value obtained for the total magnetic moment is 0.40 μB/atom. Its density of states at the Fermi level is 13.4 states/eV/cell. As for the symmetry: No. 123. The calculation puts the calculated density at 9.44 Mg/m³.